# 1
This record from the Alexandria database describes a relaxed Pm2Pr2Sm7 crystal. The functional is PBE.

The excess energy over the best structure of this formula in the dataset is 0.0 kJ per mole of atoms. As for the formation enthalpy at 0 K: 0.138 eV per atom.

Cell: 8.2137 8.2137 6.1888 Å, 105.90 105.90 91.43°
Element x y z (fractional)
Pm (0.2148, 0.7852, 0.0000)
Pm (0.7852, 0.2148, 0.0000)
Pr (0.4104, 0.4104, 0.6921)
Pr (0.5896, 0.5896, 0.3079)
Sm (0.0000, 0.0000, 0.5000)
Sm (0.0631, 0.5871, 0.3251)
Sm (0.2311, 0.2311, 0.0799)
Sm (0.4129, 0.9369, 0.6749)
Sm (0.5871, 0.0631, 0.3251)
Sm (0.7689, 0.7689, 0.9201)
Sm (0.9369, 0.4129, 0.6749)

---

# 2
This record from the Alexandria database describes a relaxed TlTcP2 crystal. The functional is PBE.

The excess energy over the best structure of this formula in the dataset is 89.0 kJ per mole of atoms. As for the formation enthalpy at 0 K: 0.843 eV per atom.

Cell: 3.9766 3.9766 8.5623 Å, 90.00 90.00 90.00°
Element x y z (fractional)
Tl (0.0000, 0.0000, 0.0000)
Tl (0.5000, 0.5000, 0.5000)
Tc (0.0000, 0.5000, 0.2500)
Tc (0.5000, 0.0000, 0.7500)
P (0.0000, 0.0000, 0.5000)
P (0.0000, 0.5000, 0.7500)
P (0.5000, 0.0000, 0.2500)
P (0.5000, 0.5000, 0.0000)

---

# 3
This record from the Alexandria database describes a relaxed MgPH16NO10 crystal. The functional is PBE.

Cell: 7.0097 6.0916 11.3260 Å, 90.00 90.00 90.00°
Element x y z (fractional)
Mg (0.0000, 0.1431, 0.0000)
Mg (0.5000, 0.8569, 0.5000)
P (0.0000, 0.4855, 0.6277)
P (0.5000, 0.5145, 0.1277)
H (0.0000, 0.1267, 0.2725)
H (0.0000, 0.2512, 0.4100)
H (0.0000, 0.6928, 0.9643)
H (0.0000, 0.7847, 0.8320)
H (0.1168, 0.5261, 0.1181)
H (0.1195, 0.0071, 0.3823)
H (0.1788, 0.6491, 0.4285)
H (0.1819, 0.8628, 0.6438)
H (0.2045, 0.3023, 0.8073)
H (0.2486, 0.8882, 0.1328)
H (0.2514, 0.1118, 0.6328)
H (0.2955, 0.6977, 0.3073)
H (0.3181, 0.1372, 0.1438)
H (0.3212, 0.3509, 0.9285)
H (0.3805, 0.9929, 0.8823)
H (0.3832, 0.4739, 0.6181)
H (0.5000, 0.2153, 0.3320)
H (0.5000, 0.3072, 0.4643)
H (0.5000, 0.7488, 0.9100)
H (0.5000, 0.8733, 0.7725)
H (0.6168, 0.4739, 0.6181)
H (0.6195, 0.9929, 0.8823)
H (0.6788, 0.3509, 0.9285)
H (0.6819, 0.1372, 0.1438)
H (0.7045, 0.6977, 0.3073)
H (0.7486, 0.1118, 0.6328)
H (0.7514, 0.8882, 0.1328)
H (0.7955, 0.3023, 0.8073)
H (0.8181, 0.8628, 0.6438)
H (0.8212, 0.6491, 0.4285)
H (0.8805, 0.0071, 0.3823)
H (0.8832, 0.5261, 0.1181)
N (0.0000, 0.1022, 0.3627)
N (0.5000, 0.8978, 0.8627)
O (0.0000, 0.4699, 0.0756)
O (0.0000, 0.5018, 0.4903)
O (0.0000, 0.7201, 0.6832)
O (0.0000, 0.8296, 0.9170)
O (0.1833, 0.3635, 0.6696)
O (0.2047, 0.0434, 0.1214)
O (0.2250, 0.2494, 0.8912)
O (0.2750, 0.7506, 0.3912)
O (0.2953, 0.9566, 0.6214)
O (0.3167, 0.6365, 0.1696)
O (0.5000, 0.1704, 0.4170)
O (0.5000, 0.2799, 0.1832)
O (0.5000, 0.4982, 0.9903)
O (0.5000, 0.5301, 0.5756)
O (0.6833, 0.6365, 0.1696)
O (0.7047, 0.9566, 0.6214)
O (0.7250, 0.7506, 0.3912)
O (0.7750, 0.2494, 0.8912)
O (0.7953, 0.0434, 0.1214)
O (0.8167, 0.3635, 0.6696)

---

# 4
This record from the Alexandria database describes a relaxed Nd6SmY2Er3 crystal. The functional is PBE.

As for the formation enthalpy at 0 K: 0.012 eV per atom.

Cell: 6.2800 6.2800 11.8713 Å, 95.04 95.04 119.99°
Element x y z (fractional)
Nd (0.0843, 0.4174, 0.7525)
Nd (0.2487, 0.2487, 0.2476)
Nd (0.4174, 0.0843, 0.7525)
Nd (0.5826, 0.9157, 0.2475)
Nd (0.7513, 0.7513, 0.7524)
Nd (0.9157, 0.5826, 0.2475)
Sm (0.0000, 0.0000, 0.5000)
Y (0.3334, 0.6666, 0.5000)
Y (0.6666, 0.3334, 0.5000)
Er (0.1667, 0.8333, 0.0000)
Er (0.5000, 0.5000, 0.0000)
Er (0.8333, 0.1667, 0.0000)

---

# 5
This record from the Alexandria database describes a relaxed TlRe2Pb crystal. The functional is PBE.

The excess energy over the best structure of this formula in the dataset is 85.8 kJ per mole of atoms. As for the formation enthalpy at 0 K: 1.335 eV per atom.

Cell: 3.1993 5.2439 9.2676 Å, 90.00 90.00 90.00°
Element x y z (fractional)
Tl (0.0000, 0.0000, 0.0000)
Tl (0.5000, 0.5000, 0.0000)
Re (0.0000, 0.5000, 0.2526)
Re (0.0000, 0.5000, 0.7474)
Re (0.5000, 0.0000, 0.2526)
Re (0.5000, 0.0000, 0.7474)
Pb (0.0000, 0.0000, 0.5000)
Pb (0.5000, 0.5000, 0.5000)

---

# 6
This record from the Alexandria database describes a relaxed ScNbTc2 crystal. The functional is PBE.

The excess energy over the best structure of this formula in the dataset is 1.8 kJ per mole of atoms. As for the formation enthalpy at 0 K: -0.247 eV per atom.

Cell: 4.5458 4.5458 3.2008 Å, 90.00 90.00 90.00°
Element x y z (fractional)
Sc (0.0000, 0.0000, 0.0000)
Nb (0.5000, 0.5000, 0.0000)
Tc (0.0000, 0.5000, 0.5000)
Tc (0.5000, 0.0000, 0.5000)

---

# 7
This record from the Alexandria database describes a relaxed Tb2PaO6 crystal. The functional is PBE.

The excess energy over the best structure of this formula in the dataset is 9.7 kJ per mole of atoms.

Cell: 5.1556 5.1556 10.6334 Å, 90.00 90.00 90.00°
Element x y z (fractional)
Tb (0.0000, 0.0000, 0.1662)
Tb (0.0000, 0.0000, 0.8338)
Tb (0.5000, 0.5000, 0.3338)
Tb (0.5000, 0.5000, 0.6662)
Pa (0.0000, 0.0000, 0.5000)
Pa (0.5000, 0.5000, 0.0000)
O (0.1872, 0.1872, 0.3414)
O (0.1872, 0.1872, 0.6586)
O (0.2016, 0.2016, 0.0000)
O (0.2984, 0.7016, 0.5000)
O (0.3128, 0.6872, 0.1586)
O (0.3128, 0.6872, 0.8414)
O (0.6872, 0.3128, 0.1586)
O (0.6872, 0.3128, 0.8414)
O (0.7016, 0.2984, 0.5000)
O (0.7984, 0.7984, 0.0000)
O (0.8128, 0.8128, 0.3414)
O (0.8128, 0.8128, 0.6586)

---

# 8
This record from the Alexandria database describes a relaxed Rb2TaI crystal. The functional is PBE.

The excess energy over the best structure of this formula in the dataset is 0.0 kJ per mole of atoms.

Cell: 13.3212 13.3212 5.4934 Å, 90.00 90.00 90.00°
Element x y z (fractional)
Rb (0.0947, 0.7500, 0.1250)
Rb (0.2500, 0.0947, 0.8750)
Rb (0.2500, 0.4053, 0.3750)
Rb (0.4053, 0.7500, 0.6250)
Rb (0.5947, 0.2500, 0.6250)
Rb (0.7500, 0.5947, 0.3750)
Rb (0.7500, 0.9053, 0.8750)
Rb (0.9053, 0.2500, 0.1250)
Ta (0.0000, 0.0000, 0.5000)
Ta (0.0000, 0.5000, 0.7500)
Ta (0.5000, 0.0000, 0.2500)
Ta (0.5000, 0.5000, 0.0000)
I (0.0000, 0.0000, 0.0000)
I (0.0000, 0.5000, 0.2500)
I (0.5000, 0.0000, 0.7500)
I (0.5000, 0.5000, 0.5000)

---

# 9
This record from the Alexandria database describes a relaxed CaTb2TcN4 crystal. The functional is PBE.

Cell: 6.1597 6.1597 11.7544 Å, 90.00 90.00 147.35°
Element x y z (fractional)
Ca (0.1172, 0.8828, 0.7500)
Ca (0.8828, 0.1172, 0.2500)
Tb (0.3692, 0.6308, 0.5361)
Tb (0.3692, 0.6308, 0.9639)
Tb (0.6308, 0.3692, 0.0361)
Tb (0.6308, 0.3692, 0.4639)
Tc (0.1505, 0.8495, 0.2500)
Tc (0.8495, 0.1505, 0.7500)
N (0.0000, 0.0000, 0.0000)
N (0.0000, 0.0000, 0.5000)
N (0.2591, 0.7409, 0.1253)
N (0.2591, 0.7409, 0.3747)
N (0.4293, 0.5707, 0.7500)
N (0.5707, 0.4293, 0.2500)
N (0.7409, 0.2591, 0.6253)
N (0.7409, 0.2591, 0.8747)

---

# 10
This record from the Alexandria database describes a relaxed LaHf2NpO8 crystal. The functional is PBE.

Cell: 5.0709 5.0709 6.8096 Å, 90.00 90.00 91.15°
Element x y z (fractional)
La (0.0000, 0.0000, 0.0000)
Hf (0.5000, 0.5000, 0.2511)
Hf (0.5000, 0.5000, 0.7489)
Np (0.0000, 0.0000, 0.5000)
O (0.2065, 0.2065, 0.2771)
O (0.2065, 0.2065, 0.7229)
O (0.3115, 0.6885, 0.5000)
O (0.3273, 0.6727, 0.0000)
O (0.6727, 0.3273, 0.0000)
O (0.6885, 0.3115, 0.5000)
O (0.7935, 0.7935, 0.2771)
O (0.7935, 0.7935, 0.7229)

---

# 11
This record from the Alexandria database describes a relaxed MgIr2Ru crystal. The functional is PBE.

As for the formation enthalpy at 0 K: 0.171 eV per atom.

Cell: 2.8317 4.7042 9.0645 Å, 90.00 90.00 90.00°
Element x y z (fractional)
Mg (0.0000, 0.0000, 0.0000)
Mg (0.5000, 0.5000, 0.0000)
Ir (0.0000, 0.5000, 0.2494)
Ir (0.0000, 0.5000, 0.7506)
Ir (0.5000, 0.0000, 0.2494)
Ir (0.5000, 0.0000, 0.7506)
Ru (0.0000, 0.0000, 0.5000)
Ru (0.5000, 0.5000, 0.5000)

---

# 12
This record from the Alexandria database describes a relaxed Tm7Tl2Zn2 crystal. The functional is PBE.

As for the formation enthalpy at 0 K: 0.007 eV per atom.

Cell: 6.6924 6.6924 7.4528 Å, 90.00 90.00 110.32°
Element x y z (fractional)
Tm (0.0000, 0.0000, 0.0000)
Tm (0.0000, 0.5000, 0.2735)
Tm (0.0000, 0.5000, 0.7265)
Tm (0.5000, 0.0000, 0.2735)
Tm (0.5000, 0.0000, 0.7265)
Tm (0.5000, 0.5000, 0.2322)
Tm (0.5000, 0.5000, 0.7678)
Tl (0.1909, 0.1909, 0.5000)
Tl (0.8091, 0.8091, 0.5000)
Zn (0.2860, 0.7140, 0.0000)
Zn (0.7140, 0.2860, 0.0000)

---

Number 1: N(E_F) 1.557 states/eV per atom, total energy -0.1690 Ha/atom. Number 2: N(E_F) 1.063 states/eV per atom, total energy -0.1854 Ha/atom. Number 3: N(E_F) 0.000 states/eV per atom, total energy -0.1971 Ha/atom. Number 4: N(E_F) 1.139 states/eV per atom, total energy -0.1831 Ha/atom. Number 5: N(E_F) 1.178 states/eV per atom, total energy -0.2355 Ha/atom. Number 6: N(E_F) 1.021 states/eV per atom, total energy -0.3502 Ha/atom. Number 7: N(E_F) 1.069 states/eV per atom, total energy -0.3190 Ha/atom. Number 8: N(E_F) 0.744 states/eV per atom, total energy -0.1077 Ha/atom. Number 9: N(E_F) 0.606 states/eV per atom, total energy -0.2872 Ha/atom. Number 10: N(E_F) 0.554 states/eV per atom, total energy -0.3575 Ha/atom. Number 11: N(E_F) 1.159 states/eV per atom, total energy -0.2564 Ha/atom. Number 12: N(E_F) 1.056 states/eV per atom, total energy -0.1286 Ha/atom.